Record 1
TbSm4Dy2Y2 | PBE | relaxed

Output
Fermi-level density of states in states/eV per atom: 1.422
E_form in eV per atom: 0.02

abc: 5.0714 8.0269 8.0261
angles: 107.46 90.00 108.42
Closest atoms and distances in Å follow each position.
Atoms (fractional coordinates):
Sm 0.7778 0.5557 0.6678  3 Dy 3.58, 3 Y 3.58-3.60, 1 Tb 3.59, 5 Sm 3.59-3.61
Sm 0.5551 0.1101 0.3309  2 Tb 3.57, 2 Dy 3.58, 4 Y 3.59-3.61, 4 Sm 3.59-3.61
Sm 0.4449 0.8899 0.6691  2 Tb 3.57, 2 Dy 3.58, 4 Y 3.59-3.61, 4 Sm 3.59-3.61
Sm 0.2222 0.4443 0.3322  3 Dy 3.58, 3 Y 3.58-3.60, 1 Tb 3.59, 5 Sm 3.59-3.61
Dy 0.6669 0.3338 0.0002  3 Y 3.58, 5 Sm 3.58, 2 Dy 3.58, 2 Tb 3.59
Dy 0.3331 0.6662 0.9998  3 Y 3.58, 5 Sm 3.58, 2 Dy 3.58, 2 Tb 3.59
Tb 0.0000 0.0000 0.0000  6 Sm 3.57-3.59, 2 Y 3.58, 4 Dy 3.59
Y 0.8885 0.7769 0.3318  3 Dy 3.58, 1 Tb 3.58, 7 Sm 3.58-3.61, 1 Y 3.61
Y 0.1115 0.2231 0.6682  3 Dy 3.58, 1 Tb 3.58, 7 Sm 3.58-3.61, 1 Y 3.61

Record 2
LiTePb2 | PBE | relaxed

Output
Fermi-level density of states in states/eV per atom: 0.476
Calculated total energy in eV per cell: -12.50

abc: 3.4206 3.4206 10.0526
angles: 90.00 90.00 109.90
Closest atoms and distances in Å follow each position.
Atoms (fractional coordinates):
Pb 0.0000 0.0000 0.9794  2 Li 3.03, 2 Te 3.36
Pb 0.0000 0.0000 0.5206  2 Li 3.03, 2 Te 3.36
Li 0.5000 0.5000 0.7500  4 Pb 3.03
Te 0.5000 0.5000 0.2500  4 Pb 3.36, 4 Te 3.42

Spin magnetization across the listed records, respectively: 0.000 0.000 Bohr magnetons per cell.